Entry 1:
Crystalline CaZnOs3 at its relaxed geometry. Source: Alexandria, functional PBE.

ΔH_f (0 K): 8.08 eV per formula unit
total magnetic moment: 0.30 μB per atom
volume: 19.43 A^3/atom

Lattice parameters (Å, degrees): 4.5969 4.5969 4.5969 90.00 90.00 90.00
With the nearest neighbours (Å) after each atom.
Fractional positions:
Ca  0.5000  0.5000  0.5000  12 Os 3.25
Os  0.5000  0.0000  0.0000  2 Zn 2.30
Os  0.0000  0.0000  0.5000  2 Zn 2.30
Os  0.0000  0.5000  0.0000  2 Zn 2.30
Zn  0.0000  0.0000  0.0000  6 Os 2.30


Entry 2:
Crystalline AlCoW2 at its relaxed geometry. Source: Alexandria, functional PBE.

ΔH_f (0 K): 0.02 eV per formula unit
total magnetic moment: 0.00 μB per atom
volume: 14.34 A^3/atom

Lattice parameters (Å, degrees): 4.2803 2.7207 4.9684 82.36 90.00 90.00
With the nearest neighbours (Å) after each atom.
Fractional positions:
W  0.5000  0.2168  0.2649  4 W 2.65-2.72, 3 Co 2.67-2.83, 4 Al 2.72-2.86
W  0.0000  0.0128  0.9858  3 Al 2.64-2.78, 4 W 2.65-2.72, 4 Co 2.68-2.92
Al  0.0000  0.6100  0.4998  2 Co 2.49, 5 W 2.64-2.78, 2 Al 2.72
Co  0.5000  0.6604  0.7495  2 Al 2.49, 4 W 2.67-2.68, 2 Co 2.72